(1)
Material: InReOs2
Method: DFT, GGA-PBE
State: optimized geometry

a = 2.825 Å, b = 2.825 Å, c = 7.982 Å
α = 90.00°, β = 90.00°, γ = 90.00°
Space group P4mm (No. 99)
Symmetry-distinct sites (fractional):
In: 0.000 0.000 0.000 x1
Re: 0.500 0.500 0.724 x1
Os: 0.000 0.000 0.494 x1
Os: 0.500 0.500 0.269 x1

Density of states at the Fermi level = 3.58 states/eV/f.u.
DFT formation energy = 385 meV/atom

(2)
Material: In2ReOs2
Method: DFT, GGA-PBE
State: optimized geometry

a = 3.720 Å, b = 3.720 Å, c = 13.435 Å
α = 90.00°, β = 90.00°, γ = 90.00°
Space group I4/mmm (No. 139)
Symmetry-distinct sites (fractional):
In: 0.000 0.500 0.250 x4
Re: 0.000 0.000 0.000 x2
Os: 0.000 0.000 0.409 x4

ΔE to the lowest computed polymorph = 648 meV/atom
Density of states at the Fermi level = 5.85 states/eV/f.u.
DFT formation energy = 1249 meV/atom